Entry 1:
# Ge2IrBr

An optimized crystal structure of Ge2IrBr (PBE-GGA, Alexandria via LeMat-Bulk).

Computed properties:
The total energy is -4.33 eV per atom. The energy above the most stable polymorph in this dataset comes out at 544.1 meV/atom. Its raw formation energy is 0.612 eV per atom.

```
data_Ge2IrBr
_chemical_formula_sum 'Ge8 Ir4 Br4'
_cell_length_a 6.685
_cell_length_b 6.685
_cell_length_c 6.685
_cell_angle_alpha 90.00
_cell_angle_beta 90.00
_cell_angle_gamma 90.00
_space_group_name_H-M_alt 'F m -3 m'
_space_group_IT_number 225
_space_group_name_Hall '-F 4 2 3'
loop_
_atom_site_label
_atom_site_fract_x
_atom_site_fract_y
_atom_site_fract_z
Ge1 0.250 0.250 0.250
Ir1 0.000 0.000 0.000
Br1 0.000 0.000 0.500
```


Entry 2:
# Ga2AgIO8

An optimized crystal structure of Ga2AgIO8 (PBE-GGA, Alexandria via LeMat-Bulk).

Computed properties:
The total energy is -4.91 eV per atom. Its raw formation energy is -0.731 eV per atom.

```
data_Ga2AgIO8
_chemical_formula_sum 'Ga2 Ag1 I1 O8'
_cell_length_a 4.655
_cell_length_b 6.337
_cell_length_c 4.659
_cell_angle_alpha 90.00
_cell_angle_beta 92.44
_cell_angle_gamma 90.00
_space_group_name_H-M_alt 'P 1 2/m 1'
_space_group_IT_number 10
_space_group_name_Hall '-P 2y'
loop_
_atom_site_label
_atom_site_fract_x
_atom_site_fract_y
_atom_site_fract_z
Ga1 0.000 0.247 0.000
Ag1 0.500 0.000 0.500
I1 0.500 0.500 0.500
O1 0.180 0.000 0.180
O2 0.199 0.500 0.197
O3 0.306 0.282 0.693
```


Entry 3:
# Be2FeTe

An optimized crystal structure of Be2FeTe (PBE-GGA, Alexandria via LeMat-Bulk).

Computed properties:
The total energy is -4.51 eV per atom. Its raw formation energy is 0.255 eV per atom.

```
data_Be2FeTe
_chemical_formula_sum 'Be6 Fe3 Te3'
_cell_length_a 3.7871
_cell_length_b 3.7871
_cell_length_c 13.1052
_cell_angle_alpha 90.00
_cell_angle_beta 90.00
_cell_angle_gamma 120.00
_space_group_name_H-M_alt 'R 3 m'
_space_group_IT_number 160
_space_group_name_Hall 'R 3 -2"'
loop_
_atom_site_label
_atom_site_fract_x
_atom_site_fract_y
_atom_site_fract_z
Be1 0.0000 0.0000 0.0000
Be2 0.0000 0.0000 0.3023
Fe1 0.0000 0.0000 0.6076
Te1 0.0000 0.0000 0.8085
```


Entry 4:
# RbYMnHg2

An optimized crystal structure of RbYMnHg2 (PBE-GGA, Alexandria via LeMat-Bulk).

Computed properties:
The total energy is -2.81 eV per atom. The calculation puts the formation energy at 636 meV/atom.

```
data_RbYMnHg2
_chemical_formula_sum 'Rb1 Y1 Mn1 Hg2'
_cell_length_a 5.269
_cell_length_b 5.269
_cell_length_c 5.428
_cell_angle_alpha 90.00
_cell_angle_beta 90.00
_cell_angle_gamma 90.00
_space_group_name_H-M_alt 'P 4/m m m'
_space_group_IT_number 123
_space_group_name_Hall '-P 4 2'
loop_
_atom_site_label
_atom_site_fract_x
_atom_site_fract_y
_atom_site_fract_z
Rb1 0.000 0.000 0.000
Y1 0.500 0.500 0.000
Mn1 0.000 0.000 0.500
Hg1 0.000 0.500 0.500
```


Entry 5:
# Tb2AlCo3Ni12

An optimized crystal structure of Tb2AlCo3Ni12 (PBE-GGA, Alexandria via LeMat-Bulk).

Computed properties:
The total energy is -5.76 eV per atom. The calculation puts the formation energy at -1 meV/atom.

```
data_Tb2AlCo3Ni12
_chemical_formula_sum 'Tb6 Al3 Co9 Ni36'
_cell_length_a 8.2543
_cell_length_b 8.2543
_cell_length_c 12.0031
_cell_angle_alpha 90.00
_cell_angle_beta 90.00
_cell_angle_gamma 120.00
_space_group_name_H-M_alt 'R -3 m'
_space_group_IT_number 166
_space_group_name_Hall '-R 3 2"'
loop_
_atom_site_label
_atom_site_fract_x
_atom_site_fract_y
_atom_site_fract_z
Tb1 0.0000 0.0000 0.2248
Al1 0.0000 0.0000 0.5000
Co1 0.0000 0.5000 0.0000
Ni1 0.0189 0.5095 0.2083
Ni2 0.0443 0.5222 0.6025
```


Entry 6:
# BaHgRh2

An optimized crystal structure of BaHgRh2 (PBE-GGA, Alexandria via LeMat-Bulk).

Computed properties:
The total energy is -4.20 eV per atom. The calculation puts the formation energy at 29 meV/atom.

```
data_BaHgRh2
_chemical_formula_sum 'Ba1 Hg1 Rh2'
_cell_length_a 5.014
_cell_length_b 4.435
_cell_length_c 5.231
_cell_angle_alpha 90.00
_cell_angle_beta 106.16
_cell_angle_gamma 90.00
_space_group_name_H-M_alt 'P 1 m 1'
_space_group_IT_number 6
_space_group_name_Hall 'P -2y'
loop_
_atom_site_label
_atom_site_fract_x
_atom_site_fract_y
_atom_site_fract_z
Ba1 0.000 0.000 0.000
Hg1 0.588 0.500 0.348
Rh1 0.416 0.000 0.612
Rh2 0.450 0.500 0.816
```


Entry 7:
# NdCo3Sn3

An optimized crystal structure of NdCo3Sn3 (PBE-GGA, Alexandria via LeMat-Bulk).

Computed properties:
The total energy is -5.15 eV per atom. The calculation puts the formation energy at 289 meV/atom.

```
data_NdCo3Sn3
_chemical_formula_sum 'Nd2 Co6 Sn6'
_cell_length_a 6.878
_cell_length_b 6.878
_cell_length_c 6.878
_cell_angle_alpha 90.00
_cell_angle_beta 90.00
_cell_angle_gamma 90.00
_space_group_name_H-M_alt 'P m -3 n'
_space_group_IT_number 223
_space_group_name_Hall '-P 4n 2 3'
loop_
_atom_site_label
_atom_site_fract_x
_atom_site_fract_y
_atom_site_fract_z
Nd1 0.000 0.000 0.000
Co1 0.000 0.250 0.500
Sn1 0.000 0.500 0.250
```


Entry 8:
# HfTi2Mo2

An optimized crystal structure of HfTi2Mo2 (PBE-GGA, Alexandria via LeMat-Bulk).

Computed properties:
The total energy is -9.02 eV per atom. The energy above the most stable polymorph in this dataset comes out at 311.0 meV/atom. The calculation puts the formation energy at 458 meV/atom.

```
data_HfTi2Mo2
_chemical_formula_sum 'Hf2 Ti4 Mo4'
_cell_length_a 3.807
_cell_length_b 3.807
_cell_length_c 12.751
_cell_angle_alpha 90.00
_cell_angle_beta 90.00
_cell_angle_gamma 90.00
_space_group_name_H-M_alt 'I 4/m m m'
_space_group_IT_number 139
_space_group_name_Hall '-I 4 2'
loop_
_atom_site_label
_atom_site_fract_x
_atom_site_fract_y
_atom_site_fract_z
Hf1 0.000 0.000 0.000
Ti1 0.000 0.000 0.400
Mo1 0.000 0.500 0.250
```


Entry 9:
# LiTlS3

An optimized crystal structure of LiTlS3 (PBE-GGA, Alexandria via LeMat-Bulk).

Computed properties:
The total energy is -3.05 eV per atom. The energy above the most stable polymorph in this dataset comes out at 0.0 meV/atom. Its raw formation energy is 0.280 eV per atom.

```
data_LiTlS3
_chemical_formula_sum 'Li1 Tl1 S3'
_cell_length_a 4.731
_cell_length_b 4.731
_cell_length_c 4.731
_cell_angle_alpha 90.00
_cell_angle_beta 90.00
_cell_angle_gamma 90.00
_space_group_name_H-M_alt 'P m -3 m'
_space_group_IT_number 221
_space_group_name_Hall '-P 4 2 3'
loop_
_atom_site_label
_atom_site_fract_x
_atom_site_fract_y
_atom_site_fract_z
Li1 0.000 0.000 0.000
Tl1 0.500 0.500 0.500
S1 0.000 0.000 0.500
```


Entry 10:
# MgTl2Fe

An optimized crystal structure of MgTl2Fe (PBE-GGA, Alexandria via LeMat-Bulk).

Computed properties:
The total energy is -3.29 eV per atom. The energy above the most stable polymorph in this dataset comes out at 79.6 meV/atom. The calculation puts the formation energy at 406 meV/atom.

```
data_MgTl2Fe
_chemical_formula_sum 'Mg1 Tl2 Fe1'
_cell_length_a 3.321
_cell_length_b 4.794
_cell_length_c 5.713
_cell_angle_alpha 90.00
_cell_angle_beta 101.60
_cell_angle_gamma 90.00
_space_group_name_H-M_alt 'P 1 m 1'
_space_group_IT_number 6
_space_group_name_Hall 'P -2y'
loop_
_atom_site_label
_atom_site_fract_x
_atom_site_fract_y
_atom_site_fract_z
Mg1 0.000 0.000 0.000
Tl1 0.272 0.000 0.552
Tl2 0.624 0.500 0.252
Fe1 0.585 0.500 0.763
```


Entry 11:
# Tb6DyTh4

An optimized crystal structure of Tb6DyTh4 (PBE-GGA, Alexandria via LeMat-Bulk).

Computed properties:
The total energy is -5.16 eV per atom. The energy above the most stable polymorph in this dataset comes out at 320.8 meV/atom. The calculation puts the formation energy at 486 meV/atom.

```
data_Tb6DyTh4
_chemical_formula_sum 'Tb12 Dy2 Th8'
_cell_length_a 7.832
_cell_length_b 7.832
_cell_length_c 13.004
_cell_angle_alpha 90.00
_cell_angle_beta 90.00
_cell_angle_gamma 90.00
_space_group_name_H-M_alt 'I -4 2 m'
_space_group_IT_number 121
_space_group_name_Hall 'I -4 2'
loop_
_atom_site_label
_atom_site_fract_x
_atom_site_fract_y
_atom_site_fract_z
Tb1 0.000 0.500 0.000
Tb2 0.244 0.244 0.185
Dy1 0.000 0.000 0.500
Th1 0.169 0.169 0.927
```


Entry 12:
# HoTiAl2

An optimized crystal structure of HoTiAl2 (PBE-GGA, Alexandria via LeMat-Bulk).

Computed properties:
The total energy is -5.04 eV per atom. The energy above the most stable polymorph in this dataset comes out at 260.2 meV/atom. The calculation puts the formation energy at -55 meV/atom.

```
data_HoTiAl2
_chemical_formula_sum 'Ho3 Ti3 Al6'
_cell_length_a 3.1500
_cell_length_b 3.1500
_cell_length_c 28.3893
_cell_angle_alpha 90.00
_cell_angle_beta 90.00
_cell_angle_gamma 120.00
_space_group_name_H-M_alt 'R -3 m'
_space_group_IT_number 166
_space_group_name_Hall '-R 3 2"'
loop_
_atom_site_label
_atom_site_fract_x
_atom_site_fract_y
_atom_site_fract_z
Ho1 0.0000 0.0000 0.0000
Ti1 0.0000 0.0000 0.5000
Al1 0.0000 0.0000 0.2422
```